A relaxed ZrTi4In crystal, computed with PBE.

Calculated formation energy ... 0.28 eV per formula unit
Crystal system ... cubic
Size of the total moment ... 2.4 μB/f.u.

a b c (Å): 5.452 5.452 5.452
angles (deg): 60.00 60.00 60.00
Atoms (fractional coordinates):
Zr (0.000, 0.000, 0.000)
Ti (0.116, 0.628, 0.628)
Ti (0.628, 0.116, 0.628)
Ti (0.628, 0.628, 0.116)
Ti (0.628, 0.628, 0.628)
In (0.250, 0.250, 0.250)